[1]
Crystalline Ac4GeBi at its relaxed geometry. Source: the Alexandria database, functional PBE-GGA.

Computed properties:
The value obtained for the raw total energy is -4.659 eV per atom. The magnetic moment comes out at 0.00 μB per formula unit. The formation enthalpy at 0 K comes out at -503 meV/atom.

Cell lengths 8.9856, 8.9856, 6.8451 Å; angles 103.59, 103.59, 114.34 degrees
Last column: nearest neighbours and their distance in Å.
Element x y z (fractional)
Ac 0.0741 0.7086 0.9292  2 Ge 3.38-3.39, 2 Bi 3.57-3.59
Ac 0.2140 0.3640 0.6772  2 Ge 3.26, 2 Bi 3.51-3.62
Ac 0.2914 0.9259 0.5708  2 Ge 3.38-3.39, 2 Bi 3.57-3.59
Ac 0.3640 0.2140 0.1772  2 Ge 3.26, 2 Bi 3.51-3.62
Ac 0.6360 0.7860 0.8228  2 Ge 3.26, 2 Bi 3.51-3.62
Ac 0.7086 0.0741 0.4292  2 Ge 3.38-3.39, 2 Bi 3.57-3.59
Ac 0.7860 0.6360 0.3228  2 Ge 3.26, 2 Bi 3.51-3.62
Ac 0.9259 0.2914 0.0708  2 Ge 3.38-3.39, 2 Bi 3.57-3.59
Ge 0.0007 0.9993 0.2500  8 Ac 3.26-3.39, 2 Ge 3.42
Ge 0.9993 0.0007 0.7500  8 Ac 3.26-3.39, 2 Ge 3.42
Bi 0.3792 0.6208 0.2500  8 Ac 3.51-3.62
Bi 0.6208 0.3792 0.7500  8 Ac 3.51-3.62



[2]
Crystalline BaSrLiAg at its relaxed geometry. Source: the Alexandria database, functional PBE-GGA.

Computed properties:
The value obtained for the raw total energy is -2.188 eV per atom. The magnetic moment comes out at 0.00 μB per formula unit. The formation enthalpy at 0 K comes out at -96 meV/atom. The calculation puts the energy above the most stable polymorph in this dataset at 49.8 meV per atom.

Cell lengths 5.8451, 5.8451, 5.8451 Å; angles 60.00, 60.00, 60.00 degrees
Last column: nearest neighbours and their distance in Å.
Element x y z (fractional)
Ba 0.0000 0.0000 0.0000  4 Li 3.58, 4 Ag 3.58
Sr 0.5000 0.5000 0.5000  4 Li 3.58, 4 Ag 3.58
Li 0.7500 0.7500 0.7500  4 Ba 3.58, 4 Sr 3.58
Ag 0.2500 0.2500 0.2500  4 Ba 3.58, 4 Sr 3.58



[3]
Crystalline Ba2TiV at its relaxed geometry. Source: the Alexandria database, functional PBE-GGA.

Computed properties:
The value obtained for the raw total energy is -3.985 eV per atom. The magnetic moment comes out at 5.54 μB per formula unit. The formation enthalpy at 0 K comes out at 1229 meV/atom. The calculation puts the energy above the most stable polymorph in this dataset at 145.8 meV per atom.

Cell lengths 7.2825, 7.2825, 7.2825 Å; angles 101.74, 101.74, 126.37 degrees
Last column: nearest neighbours and their distance in Å.
Element x y z (fractional)
Ba 0.1075 0.6250 0.9825  2 V 3.24, 2 Ba 3.30, 2 Ti 3.46
Ba 0.3750 0.3575 0.4825  2 V 3.24, 2 Ba 3.30, 2 Ti 3.46
Ba 0.6425 0.1250 0.0175  2 V 3.24, 2 Ba 3.30, 2 Ti 3.46
Ba 0.8750 0.8925 0.5175  2 V 3.24, 2 Ba 3.30, 2 Ti 3.46
Ti 0.2500 0.7500 0.5000  2 V 3.29, 4 Ba 3.46
Ti 0.5000 0.5000 0.0000  2 V 3.29, 4 Ba 3.46
V 0.0000 0.0000 0.0000  4 Ba 3.24, 2 Ti 3.29
V 0.7500 0.2500 0.5000  4 Ba 3.24, 2 Ti 3.29



[4]
Crystalline Tb5Pm2Er5 at its relaxed geometry. Source: the Alexandria database, functional PBE-GGA.

Computed properties:
The value obtained for the raw total energy is -4.603 eV per atom. The magnetic moment comes out at 0.00 μB per formula unit. The formation enthalpy at 0 K comes out at 19 meV/atom.

Cell lengths 7.9428, 7.9428, 11.2330 Å; angles 115.09, 115.09, 36.83 degrees
Last column: nearest neighbours and their distance in Å.
Element x y z (fractional)
Tb 0.0000 0.0000 0.0000  4 Pm 3.54, 2 Tb 3.56, 6 Er 3.56
Tb 0.0846 0.0846 0.7506  7 Er 3.52-3.56, 3 Tb 3.54-3.56, 2 Pm 3.56
Tb 0.1661 0.1661 0.4997  4 Tb 3.54-3.56, 5 Er 3.55-3.56, 3 Pm 3.56-3.57
Tb 0.8339 0.8339 0.5003  4 Tb 3.54-3.56, 5 Er 3.55-3.56, 3 Pm 3.56-3.57
Tb 0.9154 0.9154 0.2494  7 Er 3.52-3.56, 3 Tb 3.54-3.56, 2 Pm 3.56
Pm 0.4170 0.4170 0.7511  7 Tb 3.54-3.57, 5 Er 3.55-3.56
Pm 0.5830 0.5830 0.2489  7 Tb 3.54-3.57, 5 Er 3.55-3.56
Er 0.2508 0.2508 0.2499  6 Tb 3.53-3.56, 4 Er 3.53-3.55, 2 Pm 3.56
Er 0.3321 0.3321 0.9996  5 Tb 3.52-3.56, 5 Er 3.53-3.55, 2 Pm 3.55-3.56
Er 0.5000 0.5000 0.5000  2 Er 3.54, 8 Tb 3.55-3.56, 2 Pm 3.56
Er 0.6679 0.6679 0.0004  5 Tb 3.52-3.56, 5 Er 3.53-3.55, 2 Pm 3.55-3.56
Er 0.7492 0.7492 0.7501  6 Tb 3.53-3.56, 4 Er 3.53-3.55, 2 Pm 3.56



[5]
Crystalline HoTmAgPb at its relaxed geometry. Source: the Alexandria database, functional PBE-GGA.

Computed properties:
The value obtained for the raw total energy is -4.268 eV per atom. The magnetic moment comes out at 0.50 μB per formula unit. The formation enthalpy at 0 K comes out at -366 meV/atom.

Cell lengths 5.2402, 5.2402, 5.2402 Å; angles 60.00, 60.00, 60.00 degrees
Last column: nearest neighbours and their distance in Å.
Element x y z (fractional)
Ho 0.0000 0.0000 0.0000  4 Ag 3.21, 4 Pb 3.21
Tm 0.5000 0.5000 0.5000  4 Pb 3.21, 4 Ag 3.21
Ag 0.2500 0.2500 0.2500  4 Tm 3.21, 4 Ho 3.21
Pb 0.7500 0.7500 0.7500  4 Tm 3.21, 4 Ho 3.21



[6]
Crystalline MnTl2Cr at its relaxed geometry. Source: the Alexandria database, functional PBE-GGA.

Computed properties:
The value obtained for the raw total energy is -5.267 eV per atom. The magnetic moment comes out at 7.61 μB per formula unit. The formation enthalpy at 0 K comes out at 614 meV/atom. The calculation puts the energy above the most stable polymorph in this dataset at 201.3 meV per atom.

Cell lengths 4.9944, 4.9944, 3.2831 Å; angles 90.00, 90.00, 98.51 degrees
Last column: nearest neighbours and their distance in Å.
Element x y z (fractional)
Mn 0.0000 0.0000 0.0000  8 Tl 2.99, 2 Cr 3.26, 2 Mn 3.28
Tl 0.0000 0.5000 0.5000  4 Cr 2.99, 4 Mn 2.99, 4 Tl 3.26-3.28
Tl 0.5000 0.0000 0.5000  4 Cr 2.99, 4 Mn 2.99, 4 Tl 3.26-3.28
Cr 0.5000 0.5000 0.0000  8 Tl 2.99, 2 Mn 3.26, 2 Cr 3.28



[7]
Crystalline MgGa2Pd2 at its relaxed geometry. Source: the Alexandria database, functional PBE-GGA.

Computed properties:
The value obtained for the raw total energy is -4.172 eV per atom. The magnetic moment comes out at 0.00 μB per formula unit. The formation enthalpy at 0 K comes out at -565 meV/atom. The calculation puts the energy above the most stable polymorph in this dataset at 28.6 meV per atom.

Cell lengths 7.2593, 7.2593, 3.0565 Å; angles 90.00, 90.00, 90.00 degrees
Last column: nearest neighbours and their distance in Å.
Element x y z (fractional)
Mg 0.0000 0.0000 0.0000  4 Ga 2.85, 2 Mg 3.06, 8 Pd 3.10
Mg 0.5000 0.5000 0.0000  4 Ga 2.85, 2 Mg 3.06, 8 Pd 3.10
Ga 0.1301 0.3699 0.0000  6 Pd 2.57-2.67, 1 Ga 2.67, 2 Mg 2.85
Ga 0.3699 0.8699 0.0000  6 Pd 2.57-2.67, 1 Ga 2.67, 2 Mg 2.85
Ga 0.6301 0.1301 0.0000  6 Pd 2.57-2.67, 1 Ga 2.67, 2 Mg 2.85
Ga 0.8699 0.6301 0.0000  6 Pd 2.57-2.67, 1 Ga 2.67, 2 Mg 2.85
Pd 0.1690 0.6690 0.5000  6 Ga 2.57-2.67
Pd 0.3310 0.1690 0.5000  6 Ga 2.57-2.67
Pd 0.6690 0.8310 0.5000  6 Ga 2.57-2.67
Pd 0.8310 0.3310 0.5000  6 Ga 2.57-2.67



[8]
Crystalline Na2CrCl at its relaxed geometry. Source: the Alexandria database, functional PBE-GGA.

Computed properties:
Its energy relative to the elements, uncorrected is -114 meV/atom. The value obtained for the raw total energy is -3.641 eV per atom. The magnetic moment comes out at 4.85 μB per formula unit. The calculation puts the energy above the most stable polymorph in this dataset at 400.3 meV per atom.

Cell lengths 3.4205, 8.9980, 8.9980 Å; angles 22.89, 90.00, 90.00 degrees
Last column: nearest neighbours and their distance in Å.
Element x y z (fractional)
Na 0.0000 0.0000 0.0000  4 Cl 2.79
Na 0.5000 0.3181 0.3181  4 Cr 3.32, 4 Na 3.42-3.57
Cr 0.0000 0.6926 0.6926  2 Cl 2.71
Cl 0.5000 0.5734 0.5734  2 Cr 2.71, 4 Na 2.79



[9]
Crystalline PrFe4As12 at its relaxed geometry. Source: the Alexandria database, functional PBE-GGA.

Computed properties:
The value obtained for the raw total energy is -5.933 eV per atom. The magnetic moment comes out at 1.01 μB per formula unit. The formation enthalpy at 0 K comes out at -379 meV/atom.

Cell lengths 7.2407, 7.2407, 7.2407 Å; angles 109.47, 109.47, 109.47 degrees
Last column: nearest neighbours and their distance in Å.
Element x y z (fractional)
Pr 0.0000 0.0000 0.0000  12 As 3.15
Fe 0.0000 0.0000 0.5000  6 As 2.36
Fe 0.0000 0.5000 0.0000  6 As 2.36
Fe 0.5000 0.0000 0.0000  6 As 2.36
Fe 0.5000 0.5000 0.5000  6 As 2.36
As 0.1564 0.4996 0.3432  2 Fe 2.36, 2 As 2.61-2.62
As 0.1564 0.8132 0.6568  2 Fe 2.36, 2 As 2.61-2.62
As 0.1868 0.3432 0.8436  2 Fe 2.36, 2 As 2.61-2.62
As 0.3432 0.1564 0.4996  2 Fe 2.36, 2 As 2.61-2.62
As 0.3432 0.8436 0.1868  2 Fe 2.36, 2 As 2.61-2.62
As 0.4996 0.3432 0.1564  2 Fe 2.36, 2 As 2.61-2.62
As 0.5004 0.6568 0.8436  2 Fe 2.36, 2 As 2.61-2.62
As 0.6568 0.1564 0.8132  2 Fe 2.36, 2 As 2.61-2.62
As 0.6568 0.8436 0.5004  2 Fe 2.36, 2 As 2.61-2.62
As 0.8132 0.6568 0.1564  2 Fe 2.36, 2 As 2.61-2.62
As 0.8436 0.1868 0.3432  2 Fe 2.36, 2 As 2.61-2.62
As 0.8436 0.5004 0.6568  2 Fe 2.36, 2 As 2.61-2.62



[10]
Crystalline Np2Co2Ni15 at its relaxed geometry. Source: the Alexandria database, functional PBE-GGA.

Computed properties:
The value obtained for the raw total energy is -6.732 eV per atom. The magnetic moment comes out at 2.26 μB per formula unit. The formation enthalpy at 0 K comes out at -58 meV/atom.

Cell lengths 6.2339, 6.2339, 6.2339 Å; angles 82.81, 82.81, 82.81 degrees
Last column: nearest neighbours and their distance in Å.
Element x y z (fractional)
Np 0.1635 0.1635 0.1635  1 Co 2.90, 18 Ni 2.90-3.19
Np 0.8365 0.8365 0.8365  1 Co 2.90, 18 Ni 2.90-3.19
Co 0.4036 0.4036 0.4036  1 Co 2.33, 6 Ni 2.53-2.59
Co 0.5964 0.5964 0.5964  1 Co 2.33, 6 Ni 2.53-2.59
Ni 0.0000 0.5000 0.5000  8 Ni 2.37-2.39, 2 Co 2.53
Ni 0.1528 0.1528 0.6550  8 Ni 2.39-2.51, 1 Co 2.59
Ni 0.1528 0.6550 0.1528  8 Ni 2.39-2.51, 1 Co 2.59
Ni 0.2015 0.5000 0.7985  8 Ni 2.37-2.51
Ni 0.2015 0.7985 0.5000  8 Ni 2.37-2.51
Ni 0.3450 0.8472 0.8472  8 Ni 2.39-2.51, 1 Co 2.59
Ni 0.5000 0.0000 0.5000  8 Ni 2.37-2.39, 2 Co 2.53
Ni 0.5000 0.2015 0.7985  8 Ni 2.37-2.51
Ni 0.5000 0.5000 0.0000  8 Ni 2.37-2.39, 2 Co 2.53
Ni 0.5000 0.7985 0.2015  8 Ni 2.37-2.51
Ni 0.6550 0.1528 0.1528  8 Ni 2.39-2.51, 1 Co 2.59
Ni 0.7985 0.2015 0.5000  8 Ni 2.37-2.51
Ni 0.7985 0.5000 0.2015  8 Ni 2.37-2.51
Ni 0.8472 0.3450 0.8472  8 Ni 2.39-2.51, 1 Co 2.59
Ni 0.8472 0.8472 0.3450  8 Ni 2.39-2.51, 1 Co 2.59



[11]
Crystalline Ce2Th7Sc2 at its relaxed geometry. Source: the Alexandria database, functional PBE-GGA.

Computed properties:
The value obtained for the raw total energy is -6.790 eV per atom. The magnetic moment comes out at 0.00 μB per formula unit. The formation enthalpy at 0 K comes out at 162 meV/atom. The calculation puts the energy above the most stable polymorph in this dataset at 0.0 meV per atom.

Cell lengths 10.3224, 10.3224, 3.5548 Å; angles 99.91, 99.91, 66.94 degrees
Last column: nearest neighbours and their distance in Å.
Element x y z (fractional)
Ce 0.2013 0.2013 0.2008  8 Th 3.38-3.69, 2 Ce 3.55
Ce 0.7987 0.7987 0.7992  8 Th 3.38-3.69, 2 Ce 3.55
Th 0.0000 0.0000 0.5000  4 Sc 3.39, 2 Th 3.55
Th 0.0827 0.5911 0.3370  2 Sc 3.27, 2 Ce 3.38, 6 Th 3.43-3.55
Th 0.3882 0.3882 0.8910  2 Sc 3.38, 7 Th 3.50-3.77, 2 Ce 3.61-3.62
Th 0.4089 0.9173 0.6630  2 Sc 3.27, 2 Ce 3.38, 6 Th 3.43-3.55
Th 0.5911 0.0827 0.3370  2 Sc 3.27, 2 Ce 3.38, 6 Th 3.43-3.55
Th 0.6118 0.6118 0.1090  2 Sc 3.38, 7 Th 3.50-3.77, 2 Ce 3.61-3.62
Th 0.9173 0.4089 0.6630  2 Sc 3.27, 2 Ce 3.38, 6 Th 3.43-3.55
Sc 0.2534 0.7466 0.0000  8 Th 3.27-3.39, 2 Sc 3.55
Sc 0.7466 0.2534 0.0000  8 Th 3.27-3.39, 2 Sc 3.55